Entry 1:
A plane-wave DFT calculation with PBE was carried out for crystalline Tb3Ce2Th2 at its relaxed geometry.

Output
* size of the total moment: 2.1 μB per formula unit
* mass density: 9.284 g cm⁻³
* N(E_F): 18.55 states/eV/f.u.
* total energy: -39.4 eV for the cell shown
* formation energy from the elements: 0.17 eV per atom

Cell lengths 5.4853, 5.4839, 8.5030 Å; angles 98.77, 103.23, 114.11 degrees
Fractional coordinates of all 7 atoms:
Tb (0.0000, 0.0000, 0.0000)
Tb (0.7143, 0.8561, 0.5704)
Tb (0.2857, 0.1439, 0.4296)
Ce (0.1474, 0.5662, 0.7136)
Ce (0.8526, 0.4338, 0.2864)
Th (0.4272, 0.7062, 0.1334)
Th (0.5728, 0.2938, 0.8666)

---

Entry 2:
A plane-wave DFT calculation with PBE was carried out for crystalline La3Mg2Ir3 at its relaxed geometry.

Output
* size of the total moment: 0.0 μB per formula unit
* mass density: 9.373 g cm⁻³
* N(E_F): 4.22 states/eV/f.u.
* total energy: -98.2 eV for the cell shown
* formation energy from the elements: -0.57 eV per atom

Cell lengths 5.9598, 8.4575, 8.4575 Å; angles 120.00, 90.00, 90.00 degrees
Fractional coordinates of all 16 atoms:
La (0.7500, 0.2734, 0.0000)
La (0.7500, 0.7266, 0.7266)
La (0.7500, 0.0000, 0.2734)
La (0.2500, 0.7266, 0.0000)
La (0.2500, 0.2734, 0.2734)
La (0.2500, 0.0000, 0.7266)
Mg (0.0000, 0.3333, 0.6667)
Mg (0.5000, 0.6667, 0.3333)
Mg (0.0000, 0.6667, 0.3333)
Mg (0.5000, 0.3333, 0.6667)
Ir (0.7500, 0.6073, 0.0000)
Ir (0.7500, 0.3927, 0.3927)
Ir (0.7500, 0.0000, 0.6073)
Ir (0.2500, 0.3927, 0.0000)
Ir (0.2500, 0.6073, 0.6073)
Ir (0.2500, 0.0000, 0.3927)

---

Entry 3:
A plane-wave DFT calculation with PBE was carried out for crystalline Ac5In2Ir2 at its relaxed geometry.

Output
* size of the total moment: 0.0 μB per formula unit
* mass density: 9.726 g cm⁻³
* N(E_F): 7.03 states/eV/f.u.
* total energy: -95.9 eV for the cell shown
* formation energy from the elements: -0.47 eV per atom

Cell lengths 8.7675, 7.9344, 9.4578 Å; angles 114.80, 90.00, 90.00 degrees
Fractional coordinates of all 18 atoms:
Ac (0.0000, 0.0000, 0.0000)
Ac (0.5000, 0.5000, 0.0000)
Ac (0.8280, 0.7761, 0.2347)
Ac (0.1720, 0.4586, 0.2347)
Ac (0.3280, 0.9586, 0.2347)
Ac (0.6720, 0.2761, 0.2347)
Ac (0.1720, 0.2239, 0.7653)
Ac (0.8280, 0.5414, 0.7653)
Ac (0.6720, 0.0414, 0.7653)
Ac (0.3280, 0.7239, 0.7653)
In (0.0000, 0.2151, 0.4301)
In (0.5000, 0.7150, 0.4301)
In (0.0000, 0.7849, 0.5699)
In (0.5000, 0.2850, 0.5699)
Ir (0.6274, 0.8624, 0.0000)
Ir (0.3726, 0.1376, 0.0000)
Ir (0.1274, 0.6376, 0.0000)
Ir (0.8726, 0.3624, 0.0000)

---

Entry 4:
A plane-wave DFT calculation with PBE was carried out for crystalline LaYCu3 at its relaxed geometry.

Output
* size of the total moment: 0.0 μB per formula unit
* mass density: 6.512 g cm⁻³
* N(E_F): 3.96 states/eV/f.u.
* total energy: -49.6 eV for the cell shown
* formation energy from the elements: -0.23 eV per atom

Cell lengths 3.8178, 4.3563, 12.9730 Å; angles 90.00, 98.46, 90.00 degrees
Fractional coordinates of all 10 atoms:
La (0.9268, 0.7500, 0.8536)
La (0.0732, 0.2500, 0.1464)
Y (0.2055, 0.7500, 0.4110)
Y (0.7945, 0.2500, 0.5890)
Cu (0.6214, 0.7500, 0.2427)
Cu (0.3786, 0.2500, 0.7573)
Cu (0.5242, 0.7500, 0.0483)
Cu (0.4758, 0.2500, 0.9517)
Cu (0.6751, 0.2500, 0.3501)
Cu (0.3249, 0.7500, 0.6499)

---

Entry 5:
A plane-wave DFT calculation with PBE was carried out for crystalline RbY3Ge at its relaxed geometry.

Output
* size of the total moment: 0.0 μB per formula unit
* mass density: 3.797 g cm⁻³
* N(E_F): 10.68 states/eV/f.u.
* total energy: -24.4 eV for the cell shown
* formation energy from the elements: 0.12 eV per atom

Cell lengths 5.7060, 5.7060, 5.7060 Å; angles 90.00, 90.00, 90.00 degrees
Fractional coordinates of all 5 atoms:
Y (0.0000, 0.5000, 0.0000)
Y (0.0000, 0.0000, 0.5000)
Y (0.5000, 0.0000, 0.0000)
Ge (0.0000, 0.0000, 0.0000)
Rb (0.5000, 0.5000, 0.5000)

---

Entry 6:
A plane-wave DFT calculation with PBE was carried out for crystalline Tl2SeCl at its relaxed geometry.

Output
* size of the total moment: 0.0 μB per formula unit
* mass density: 7.807 g cm⁻³
* N(E_F): 2.33 states/eV/f.u.
* total energy: -12.0 eV for the cell shown
* formation energy without anion corrections: -11.19 kcal/mol of atoms

Cell lengths 5.5334, 5.5334, 3.6345 Å; angles 90.00, 90.00, 90.02 degrees
Fractional coordinates of all 4 atoms:
Cl (0.5000, 0.0000, 0.5000)
Se (0.0000, 0.5000, 0.5000)
Tl (0.0000, 0.0000, 0.0000)
Tl (0.5000, 0.5000, 0.0000)

---

Entry 7:
A plane-wave DFT calculation with PBE was carried out for crystalline ZrCu2Ir at its relaxed geometry.

Output
* size of the total moment: 0.0 μB per formula unit
* mass density: 10.938 g cm⁻³
* N(E_F): 1.61 states/eV/f.u.
* total energy: -26.6 eV for the cell shown
* formation energy from the elements: -0.25 eV per atom

Cell lengths 3.3538, 3.3538, 5.5412 Å; angles 90.00, 90.00, 90.00 degrees
Fractional coordinates of all 4 atoms:
Cu (0.0000, 0.0000, 0.0301)
Cu (0.5000, 0.5000, 0.2325)
Ir (0.0000, 0.0000, 0.4976)
Zr (0.5000, 0.5000, 0.7398)

---

Entry 8:
A plane-wave DFT calculation with PBE was carried out for crystalline Ca3PaPd4 at its relaxed geometry.

Output
* size of the total moment: 1.0 μB per formula unit
* mass density: 7.453 g cm⁻³
* N(E_F): 7.79 states/eV/f.u.
* total energy: -40.8 eV for the cell shown
* formation energy from the elements: -0.56 eV per atom

Cell lengths 6.0810, 6.0810, 6.0810 Å; angles 109.47, 109.47, 109.47 degrees
Fractional coordinates of all 8 atoms:
Ca (0.0000, 0.5000, 0.5000)
Ca (0.5000, 0.0000, 0.5000)
Ca (0.5000, 0.5000, 0.0000)
Pa (0.0000, 0.0000, 0.0000)
Pd (0.0000, 0.0000, 0.4999)
Pd (0.5001, 0.5001, 0.5001)
Pd (0.4999, 0.0000, 0.0000)
Pd (0.0000, 0.4999, 0.0000)

---

What is the total energy in the fifth record?
-24.4 eV for the cell shown

---

Which of these has the highest N(E_F)?
Tb3Ce2Th2

---

Which of these has the highest total energy?
Tl2SeCl